No. 1
! PBE-GGA As2OsSeS, relaxed; values from VASP
&SYSTEM
  ibrav = 0, nat = 5, ntyp = 4
/
ATOMIC_SPECIES
As 74.92 As.upf
Os 190.23 Os.upf
Se 78.96 Se.upf
S 32.06 S.upf
ATOMIC_POSITIONS angstrom
As 0.000 2.309 0.000
As 2.309 0.000 0.000
Os 0.000 0.000 2.289
Se 2.309 2.309 2.289
S 2.309 2.309 0.000
CELL_PARAMETERS angstrom
4.619 0.000 0.000
0.000 4.619 0.000
0.000 0.000 4.579
! - Formation energy without anion corrections: 1.4115 eV/atom

***

No. 2
! PBE-GGA In2SnSbI, relaxed; values from VASP
&SYSTEM
  ibrav = 0, nat = 5, ntyp = 4
/
ATOMIC_SPECIES
In 114.82 In.upf
Sn 118.71 Sn.upf
Sb 121.76 Sb.upf
I 126.90 I.upf
ATOMIC_POSITIONS angstrom
In 0.000 3.026 0.000
In 3.026 0.000 0.000
Sn 0.000 0.000 2.937
Sb 3.026 3.026 2.937
I 3.026 3.026 0.000
CELL_PARAMETERS angstrom
6.052 0.000 0.000
0.000 6.052 0.000
0.000 0.000 5.874
! - Formation energy without anion corrections: 0.6796 eV/atom

***

No. 3
! PBE-GGA Li2GaNi, relaxed; values from VASP
&SYSTEM
  ibrav = 0, nat = 8, ntyp = 3
/
ATOMIC_SPECIES
Li 6.94 Li.upf
Ga 69.72 Ga.upf
Ni 58.69 Ni.upf
ATOMIC_POSITIONS angstrom
Li 2.604 0.840 -2.336
Li 0.840 0.868 2.336
Li -0.868 0.896 7.007
Li 0.896 0.868 11.679
Ga 1.736 0.000 4.672
Ga 0.000 0.000 9.343
Ni 0.000 0.000 0.000
Ni 0.000 1.736 4.672
CELL_PARAMETERS angstrom
-1.736 1.736 9.343
1.736 -1.736 9.343
1.736 1.736 -9.343
! - Energy of formation: -0.055 eV/atom

***

No. 4
! PBE-GGA NbTcRu2, relaxed; values from VASP
&SYSTEM
  ibrav = 0, nat = 4, ntyp = 3
/
ATOMIC_SPECIES
Nb 92.91 Nb.upf
Tc 98.00 Tc.upf
Ru 101.07 Ru.upf
ATOMIC_POSITIONS angstrom
Nb 0.000 0.000 0.000
Tc 1.968 1.968 0.000
Ru 0.000 1.968 1.947
Ru 1.968 0.000 1.947
CELL_PARAMETERS angstrom
3.937 0.000 0.000
0.000 3.937 0.000
0.000 0.000 3.895
! - Energy of formation: -0.069 eV/atom

***

| no. | final energy (eV per atom) | calculated volume (Å³/atom) |
| --- | --- | --- |
| 1 | -4.2167 | 19.538 |
| 2 | -2.3509 | 43.036 |
| 3 | -3.2144 | 14.082 |
| 4 | -9.8159 | 15.091 |